Record 1
PBE-GGA ZrInP2, relaxed; E_form = -0.32 eV per atom; spin magnetization = 0.0 μB/f.u.
1.0
-3.032 3.032 5.774
3.032 -3.032 5.774
3.032 3.032 -5.774
Zr In P
2 2 4
Cartesian
0.000 0.000 0.000 Zr
0.000 3.032 2.887 Zr
3.032 0.000 2.887 In
0.000 0.000 5.774 In
4.548 1.456 -1.444 P
1.456 1.516 1.444 P
-1.516 1.576 4.331 P
1.576 1.516 7.218 P

Record 2
PBE-GGA ZrInP2, relaxed; E_form = -0.53 eV per atom; spin magnetization = 0.0 μB/f.u.
1.0
1.878 1.084 6.766
-1.878 1.084 6.766
0.000 -2.168 6.766
Zr In P
1 1 2
Cartesian
0.000 0.000 0.000 Zr
0.000 0.000 10.148 In
0.000 0.000 5.201 P
0.000 0.000 15.096 P

Record 3
PBE-GGA ZrInP2, relaxed; E_form = 0.28 eV per atom; spin magnetization = 0.0 μB/f.u.
1.0
0.000 3.379 3.379
3.379 0.000 3.379
3.379 3.379 0.000
Zr In P
1 1 2
Cartesian
0.000 0.000 0.000 Zr
5.069 5.069 5.069 In
1.690 1.690 1.690 P
3.379 3.379 3.379 P